The following is a DFT calculation (GGA-PBE) of a relaxed structure of ThH8Pt2.

Unit cell a=4.427 b=4.427 c=8.423 alpha=121.90 beta=121.90 gamma=59.60
Fractional positions:
1 Pt 0.860 0.860 0.301
2 Pt 0.140 0.140 0.699
3 H 0.407 0.867 0.843
4 H 0.133 0.593 0.157
5 H 0.593 0.133 0.157
6 H 0.867 0.407 0.843
7 H 0.857 0.857 0.516
8 H 0.584 0.584 0.162
9 H 0.143 0.143 0.484
10 H 0.416 0.416 0.838
11 Th 0.000 0.000 0.000

Values from the calculation:
The symmetry is C2/m. The calculation puts the mass density at 9.3 g/cm3. As for the raw total energy: -4.37 eV/atom.